Below is a relaxed TaBe2TeRu crystal, with properties calculated at the PBE-GGA level.

Unit cell a=4.2706 b=4.2706 c=4.9527 alpha=90.00 beta=90.00 gamma=90.00
Last column: nearest neighbours and their distance in Å.
Atoms (fractional coordinates):
Ta  0.0000  0.0000  0.0000  2 Ru 2.48
Be  0.0000  0.5000  0.5000  2 Ru 2.14
Be  0.5000  0.0000  0.5000  2 Ru 2.14
Te  0.5000  0.5000  0.0000  4 Ta 3.02, 8 Be 3.27
Ru  0.0000  0.0000  0.5000  4 Be 2.14

- crystal system = tetragonal
- E_form (uncorrected) (eV/atom) = 0.655
- space group = No. 123



Below is a relaxed TiSiSN2 crystal, with properties calculated at the PBE-GGA level.

Unit cell a=3.5343 b=3.5343 c=4.7658 alpha=90.00 beta=90.00 gamma=90.00
Last column: nearest neighbours and their distance in Å.
Atoms (fractional coordinates):
Ti  0.0000  0.0000  0.0000  4 S 2.50
Si  0.5000  0.5000  0.5000  4 N 1.77
S  0.5000  0.5000  0.0000  2 Si 2.38, 4 Ti 2.50
N  0.0000  0.5000  0.5000  2 Si 1.77
N  0.5000  0.0000  0.5000  2 Si 1.77

- E above lowest polymorph (eV/f.u.) = 0.000
- crystal system = tetragonal
- E_form (uncorrected) (eV/atom) = 0.032
- space group = No. 123



Below is a relaxed Tl4InAu crystal, with properties calculated at the PBE-GGA level.

Unit cell a=6.3738 b=6.3738 c=6.3738 alpha=60.00 beta=60.00 gamma=60.00
Last column: nearest neighbours and their distance in Å.
Atoms (fractional coordinates):
Tl  0.1246  0.1246  0.1246  6 Tl 3.18-3.20
Tl  0.1246  0.1246  0.6263  6 Tl 3.18-3.20
Tl  0.1246  0.6263  0.1246  6 Tl 3.18-3.20
Tl  0.6263  0.1246  0.1246  6 Tl 3.18-3.20
In  0.5000  0.5000  0.5000  12 Tl 3.74, 4 Au 3.90
Au  0.7500  0.7500  0.7500  12 Tl 3.74, 4 In 3.90

- E above lowest polymorph (eV/f.u.) = 1.483
- crystal system = cubic
- space group = No. 216
- formation enthalpy at 0 K (eV/atom) = 0.252



Below is a relaxed Cd2AgHg crystal, with properties calculated at the PBE-GGA level.

Unit cell a=6.3375 b=8.7232 c=3.0888 alpha=90.00 beta=90.00 gamma=90.00
Last column: nearest neighbours and their distance in Å.
Atoms (fractional coordinates):
Cd  0.2500  0.2500  0.0000  4 Cd 3.09-3.17, 4 Hg 3.11, 4 Ag 3.11
Cd  0.2500  0.7500  0.0000  4 Cd 3.09-3.17, 4 Hg 3.11, 4 Ag 3.11
Cd  0.7500  0.2500  0.0000  4 Cd 3.09-3.17, 4 Hg 3.11, 4 Ag 3.11
Cd  0.7500  0.7500  0.0000  4 Cd 3.09-3.17, 4 Hg 3.11, 4 Ag 3.11
Ag  0.0000  0.0000  0.5000  2 Ag 3.09, 8 Cd 3.11, 2 Hg 3.17
Ag  0.5000  0.5000  0.5000  2 Ag 3.09, 8 Cd 3.11, 2 Hg 3.17
Hg  0.0000  0.5000  0.5000  2 Hg 3.09, 8 Cd 3.11, 2 Ag 3.17
Hg  0.5000  0.0000  0.5000  2 Hg 3.09, 8 Cd 3.11, 2 Ag 3.17

- crystal system = orthorhombic
- space group = No. 65
- formation enthalpy at 0 K (eV/atom) = 0.022



no.,density of states at the Fermi level (states/eV/cell)
1,3.95
2,2.92
3,4.13
4,1.63